A plane-wave DFT calculation with GGA-PBE was carried out for a relaxed Sc3Ga2Sn2 crystal.

Structure (POSCAR):
```
Sc3Ga2Sn2
1.0
3.300 0.000 0.000
0.000 4.772 0.000
0.000 0.000 18.884
Sc Ga Sn
6 4 4
Direct
0.000 0.000 0.000 Sc
0.000 0.500 0.193 Sc
0.000 0.500 0.807 Sc
0.500 0.000 0.307 Sc
0.500 0.000 0.693 Sc
0.500 0.500 0.500 Sc
0.000 0.000 0.435 Ga
0.000 0.000 0.565 Ga
0.500 0.500 0.065 Ga
0.500 0.500 0.935 Ga
0.000 0.500 0.350 Sn
0.000 0.500 0.650 Sn
0.500 0.000 0.150 Sn
0.500 0.000 0.850 Sn
```

Summary:
total energy	-72.73	eV per cell
ΔE_f	-0.4733	eV per atom
symmetry	Immm (71)
volume	297	Å³ per cell

=====

A plane-wave DFT calculation with GGA-PBE was carried out for a relaxed Sc4Ga3Sn crystal.

Structure (POSCAR):
```
Sc4Ga3Sn
1.0
3.942 0.000 0.000
0.000 4.137 0.000
0.000 0.000 10.382
Sc Ga Sn
4 3 1
Direct
0.000 0.000 0.000 Sc
0.000 0.500 0.485 Sc
0.500 0.000 0.713 Sc
0.500 0.500 0.222 Sc
0.000 0.000 0.275 Ga
0.500 0.000 0.437 Ga
0.500 0.500 0.952 Ga
0.000 0.500 0.772 Sn
```

Summary:
total energy	-43.18	eV per cell
ΔE_f	-0.5966	eV per atom
symmetry	Pmm2 (25)
volume	169	Å³ per cell

=====

A plane-wave DFT calculation with GGA-PBE was carried out for a relaxed ScGa2Sn2 crystal.

Structure (POSCAR):
```
ScGa2Sn2
1.0
4.185 0.000 0.000
0.000 4.185 0.000
0.000 0.000 13.912
Sc Ga Sn
2 4 4
Direct
0.000 0.000 0.000 Sc
0.500 0.500 0.500 Sc
0.000 0.000 0.412 Ga
0.000 0.000 0.588 Ga
0.500 0.500 0.088 Ga
0.500 0.500 0.912 Ga
0.000 0.500 0.250 Sn
0.000 0.500 0.750 Sn
0.500 0.000 0.250 Sn
0.500 0.000 0.750 Sn
```

Summary:
total energy	-40.28	eV per cell
ΔE_f	0.0500	eV per atom
symmetry	I4/mmm (139)
energy above the lowest structure with this stoichiometry	0.274	eV per atom
volume	244	Å³ per cell

=====

A plane-wave DFT calculation with GGA-PBE was carried out for a relaxed Sc3GaSn2 crystal.

Structure (POSCAR):
```
Sc3GaSn2
1.0
11.691 0.000 0.000
0.000 4.249 0.000
0.000 0.000 11.022
Sc Ga Sn
12 4 8
Direct
0.049 0.250 0.120 Sc
0.129 0.750 0.558 Sc
0.232 0.250 0.791 Sc
0.268 0.750 0.291 Sc
0.371 0.250 0.058 Sc
0.451 0.750 0.620 Sc
0.549 0.250 0.380 Sc
0.629 0.750 0.942 Sc
0.732 0.250 0.709 Sc
0.768 0.750 0.209 Sc
0.871 0.250 0.442 Sc
0.951 0.750 0.880 Sc
0.128 0.250 0.368 Ga
0.372 0.750 0.868 Ga
0.628 0.250 0.132 Ga
0.872 0.750 0.632 Ga
0.004 0.250 0.695 Sn
0.183 0.750 0.008 Sn
0.317 0.250 0.508 Sn
0.496 0.750 0.195 Sn
0.504 0.250 0.805 Sn
0.683 0.750 0.492 Sn
0.817 0.250 0.992 Sn
0.996 0.750 0.305 Sn
```

Summary:
total energy	-133.03	eV per cell
ΔE_f	-0.5382	eV per atom
symmetry	Pnma (62)
volume	547	Å³ per cell

=====

What did the fourth record say?
A plane-wave DFT calculation with GGA-PBE was carried out for a relaxed Sc3GaSn2 crystal.

Structure (POSCAR):
```
Sc3GaSn2
1.0
11.691 0.000 0.000
0.000 4.249 0.000
0.000 0.000 11.022
Sc Ga Sn
12 4 8
Direct
0.049 0.250 0.120 Sc
0.129 0.750 0.558 Sc
0.232 0.250 0.791 Sc
0.268 0.750 0.291 Sc
0.371 0.250 0.058 Sc
0.451 0.750 0.620 Sc
0.549 0.250 0.380 Sc
0.629 0.750 0.942 Sc
0.732 0.250 0.709 Sc
0.768 0.750 0.209 Sc
0.871 0.250 0.442 Sc
0.951 0.750 0.880 Sc
0.128 0.250 0.368 Ga
0.372 0.750 0.868 Ga
0.628 0.250 0.132 Ga
0.872 0.750 0.632 Ga
0.004 0.250 0.695 Sn
0.183 0.750 0.008 Sn
0.317 0.250 0.508 Sn
0.496 0.750 0.195 Sn
0.504 0.250 0.805 Sn
0.683 0.750 0.492 Sn
0.817 0.250 0.992 Sn
0.996 0.750 0.305 Sn
```

Summary:
total energy	-133.03	eV per cell
ΔE_f	-0.5382	eV per atom
symmetry	Pnma (62)
volume	547	Å³ per cell